1) A geometry-optimized Th2InSn structure. Source: Alexandria via LeMat-Bulk, functional GGA-PBE.

Fermi-level density of states: 4.06 states/eV per cell

Unit cell a=4.984 b=4.984 c=4.602 alpha=90.00 beta=90.00 gamma=90.00
Fractional positions:
Th  0.000  0.500  0.000
Th  0.500  0.000  0.000
In  0.000  0.000  0.500
Sn  0.500  0.500  0.500

2) A geometry-optimized Th2InSn structure. Source: Alexandria via LeMat-Bulk, functional GGA-PBE.

Fermi-level density of states: 7.34 states/eV per cell

Unit cell a=5.489 b=5.489 c=5.489 alpha=60.00 beta=60.00 gamma=60.00
Fractional positions:
Th  0.250  0.250  0.250
Th  0.750  0.750  0.750
In  0.000  0.000  0.000
Sn  0.500  0.500  0.500

3) A geometry-optimized Th2InSn structure. Source: Alexandria via LeMat-Bulk, functional GGA-PBE.

Fermi-level density of states: 2.79 states/eV per cell

Unit cell a=5.800 b=5.800 c=3.513 alpha=90.00 beta=90.00 gamma=104.93
Fractional positions:
Th  0.000  0.500  0.000
Th  0.500  0.000  0.000
In  0.000  0.000  0.500
Sn  0.500  0.500  0.500

4) A geometry-optimized Th2InSn structure. Source: Alexandria via LeMat-Bulk, functional GGA-PBE.

Fermi-level density of states: 3.43 states/eV per cell

Unit cell a=4.114 b=4.114 c=6.866 alpha=90.00 beta=90.00 gamma=90.00
Fractional positions:
Th  0.000  0.000  0.245
Th  0.000  0.000  0.755
In  0.500  0.500  0.500
Sn  0.500  0.500  0.000

Short version: 3) is the most stable of them.

1) A geometry-optimized ThInSn2 structure. Source: Alexandria via LeMat-Bulk, functional GGA-PBE.

Fermi-level density of states: 3.37 states/eV per cell

Unit cell a=4.843 b=4.843 c=4.575 alpha=90.00 beta=90.00 gamma=90.00
Fractional positions:
Th  0.000  0.000  0.000
In  0.500  0.500  0.000
Sn  0.000  0.500  0.500
Sn  0.500  0.000  0.500

2) A geometry-optimized ThInSn2 structure. Source: Alexandria via LeMat-Bulk, functional GGA-PBE.

Fermi-level density of states: 2.00 states/eV per cell

Unit cell a=4.059 b=4.059 c=6.669 alpha=90.00 beta=90.00 gamma=90.00
Fractional positions:
Th  0.000  0.000  0.000
In  0.000  0.000  0.500
Sn  0.500  0.500  0.266
Sn  0.500  0.500  0.734

Short version: 1) is the most stable of them.

1) A geometry-optimized Ti3InSn structure. Source: Alexandria via LeMat-Bulk, functional GGA-PBE.

Fermi-level density of states: 12.61 states/eV per cell

Unit cell a=7.826 b=7.826 c=5.168 alpha=90.00 beta=90.00 gamma=139.85
Fractional positions:
Ti  0.000  0.000  0.000
Ti  0.000  0.000  0.500
Ti  0.090  0.397  0.250
Ti  0.397  0.090  0.750
Ti  0.603  0.910  0.250
Ti  0.910  0.603  0.750
In  0.444  0.556  0.750
In  0.556  0.444  0.250
Sn  0.177  0.823  0.250
Sn  0.823  0.177  0.750

2) A geometry-optimized Ti3InSn structure. Source: Alexandria via LeMat-Bulk, functional GGA-PBE.

Fermi-level density of states: 9.21 states/eV per cell

Unit cell a=7.049 b=7.049 c=7.049 alpha=140.32 beta=91.84 gamma=101.43
Fractional positions:
Ti  0.217  0.150  0.067
Ti  0.395  0.645  0.750
Ti  0.418  0.850  0.567
Ti  0.582  0.150  0.433
Ti  0.605  0.355  0.250
Ti  0.783  0.850  0.933
In  0.127  0.877  0.250
In  0.873  0.123  0.750
Sn  0.000  0.500  0.500
Sn  0.500  0.500  0.000

Short version: 2) is the most stable of them.

1) A geometry-optimized Ti2In2Sn structure. Source: Alexandria via LeMat-Bulk, functional GGA-PBE.

Fermi-level density of states: 4.91 states/eV per cell

Unit cell a=7.083 b=7.083 c=4.313 alpha=90.00 beta=90.00 gamma=90.00
Fractional positions:
Ti  0.146  0.354  0.000
Ti  0.354  0.854  0.000
Ti  0.646  0.146  0.000
Ti  0.854  0.646  0.000
In  0.155  0.655  0.500
In  0.345  0.155  0.500
In  0.655  0.845  0.500
In  0.845  0.345  0.500
Sn  0.000  0.000  0.000
Sn  0.500  0.500  0.000

2) A geometry-optimized Ti2In2Sn structure. Source: Alexandria via LeMat-Bulk, functional GGA-PBE.

Fermi-level density of states: 11.77 states/eV per cell

Unit cell a=8.612 b=8.612 c=3.015 alpha=90.00 beta=90.00 gamma=90.00
Fractional positions:
Ti  0.112  0.388  0.000
Ti  0.388  0.888  0.000
Ti  0.612  0.112  0.000
Ti  0.888  0.612  0.000
In  0.179  0.679  0.500
In  0.321  0.179  0.500
In  0.679  0.821  0.500
In  0.821  0.321  0.500
Sn  0.000  0.000  0.500
Sn  0.500  0.500  0.500

Short version: 1) is the most stable of them.

1) A geometry-optimized Ti6In2Sn structure. Source: Alexandria via LeMat-Bulk, functional GGA-PBE.

Fermi-level density of states: 13.08 states/eV per cell

Unit cell a=8.388 b=8.388 c=8.388 alpha=160.20 beta=121.97 gamma=61.94
Fractional positions:
Ti  0.150  0.830  0.321
Ti  0.175  0.000  0.175
Ti  0.491  0.170  0.321
Ti  0.509  0.830  0.679
Ti  0.825  0.000  0.825
Ti  0.850  0.170  0.679
In  0.153  0.653  0.500
In  0.847  0.347  0.500
Sn  0.500  0.500  0.000

2) A geometry-optimized Ti6In2Sn structure. Source: Alexandria via LeMat-Bulk, functional GGA-PBE.

Fermi-level density of states: 11.64 states/eV per cell

Unit cell a=7.633 b=7.633 c=7.633 alpha=143.12 beta=137.23 gamma=57.72
Fractional positions:
Ti  0.061  0.813  0.249
Ti  0.249  0.000  0.249
Ti  0.436  0.187  0.249
Ti  0.564  0.813  0.751
Ti  0.751  0.000  0.751
Ti  0.939  0.187  0.751
In  0.116  0.616  0.500
In  0.884  0.384  0.500
Sn  0.500  0.500  0.000

Short version: 1) is the most stable of them.

1) A geometry-optimized TiInSn3 structure. Source: Alexandria via LeMat-Bulk, functional GGA-PBE.

Fermi-level density of states: 10.45 states/eV per cell

Unit cell a=5.510 b=5.510 c=5.510 alpha=90.00 beta=90.00 gamma=90.00
Fractional positions:
Ti  0.000  0.000  0.000
In  0.500  0.500  0.500
Sn  0.000  0.500  0.500
Sn  0.500  0.000  0.500
Sn  0.500  0.500  0.000

2) A geometry-optimized TiInSn3 structure. Source: Alexandria via LeMat-Bulk, functional GGA-PBE.

Fermi-level density of states: 1.99 states/eV per cell

Unit cell a=5.325 b=5.325 c=5.325 alpha=90.00 beta=90.00 gamma=90.00
Fractional positions:
Ti  0.000  0.000  0.000
In  0.500  0.500  0.500
Sn  0.000  0.000  0.500
Sn  0.000  0.500  0.000
Sn  0.500  0.000  0.000

Short version: 2) is the most stable of them.